--- one ---
A plane-wave DFT calculation with PBE-GGA was carried out for a geometry-optimized KFeSb2 structure.

For the total magnetic moment, the calculation gives 6.5 μB per cell. As for the density of states at the Fermi level: 8.45 states/eV/cell. Its crystal system is orthorhombic.

The structure belongs to space group Cmmm (No. 65); the cell edges are 6.706, 9.740 and 3.112 Å and the angles 90.00°, 90.00° and 90.00°. Symmetry generates all atoms from K at (0.000, 0.000, 0.000), Fe at (0.000, 0.500, 0.000) and Sb at (0.250, 0.250, 0.500).

--- two ---
A plane-wave DFT calculation with PBE-GGA was carried out for a geometry-optimized KFeSb2 structure.

For the total magnetic moment, the calculation gives 5.1 μB per cell. As for the density of states at the Fermi level: 6.55 states/eV/cell. Its crystal system is orthorhombic.

The structure belongs to space group Immm (No. 71); the cell edges are 4.324, 6.835 and 8.595 Å and the angles 90.00°, 90.00° and 90.00°. Symmetry generates all atoms from K at (0.000, 0.000, 0.000), Fe at (0.000, 0.000, 0.500) and Sb at (0.000, 0.500, 0.168).

Which is more stable than every other structure shown? two is more stable than every other one.